AcLuInGa (PBE-GGA, optimized geometry); magnetic moment = 0.00 μB/f.u.; DFT total energy = -3.98 eV per atom; E_form = -37.0 kJ per mole of atoms
1.0
0.000 3.831 3.831
3.831 0.000 3.831
3.831 3.831 0.000
Ac Lu In Ga
1 1 1 1
Cartesian
0.000 0.000 0.000 Ac
3.831 3.831 3.831 Lu
1.915 1.915 1.915 In
5.746 5.746 5.746 Ga